First-principles (PBE) data for a geometry-optimized TbNdDy structure, as listed in Alexandria.

Unit cell a=8.2164 b=8.2164 c=3.4688 alpha=90.00 beta=90.00 gamma=90.04
With the nearest neighbours (Å) after each atom.
Element x y z (fractional)
Tb 0.2372 0.7628 0.0000  3 Nd 3.06-3.26
Tb 0.7628 0.2372 0.0000  3 Nd 3.06-3.26
Nd 0.0000 0.0000 0.5000  2 Dy 3.06, 4 Tb 3.26
Nd 0.5000 0.5000 0.0000  2 Tb 3.06, 4 Dy 3.25
Dy 0.2630 0.2630 0.5000  3 Nd 3.06-3.25
Dy 0.7370 0.7370 0.5000  3 Nd 3.06-3.25

Properties
Its energy above the lowest structure with this stoichiometry is 687 meV/atom. Its space-group type is Cmmm, No. 65.


First-principles (PBE) data for a geometry-optimized Tb8Nd4Dy3 structure, as listed in Alexandria.

Unit cell a=9.3109 b=9.3109 c=6.7970 alpha=111.30 beta=111.30 gamma=87.24
With the nearest neighbours (Å) after each atom.
Element x y z (fractional)
Tb 0.1396 0.8604 0.0000  7 Tb 3.58-3.66, 4 Dy 3.66-3.84, 2 Nd 3.66
Tb 0.2290 0.2290 0.4599  3 Nd 3.22-3.52, 1 Dy 3.23, 4 Tb 3.25-3.58
Tb 0.2336 0.2336 0.9870  3 Dy 3.22-3.23, 2 Tb 3.25-3.55, 2 Nd 3.53-3.55
Tb 0.2441 0.7559 0.5000  3 Dy 3.14-3.38, 3 Nd 3.29-3.37
Tb 0.7559 0.2441 0.5000  3 Dy 3.14-3.38, 3 Nd 3.29-3.37
Tb 0.7664 0.7664 0.0130  3 Dy 3.22-3.23, 2 Tb 3.25-3.55, 2 Nd 3.53-3.55
Tb 0.7710 0.7710 0.5401  3 Nd 3.22-3.52, 1 Dy 3.23, 4 Tb 3.25-3.58
Tb 0.8604 0.1396 0.0000  7 Tb 3.58-3.66, 4 Dy 3.66-3.84, 2 Nd 3.66
Nd 0.0000 0.5000 0.5000  4 Tb 3.22-3.37, 2 Dy 3.40
Nd 0.5000 0.0000 0.5000  4 Tb 3.22-3.37, 2 Dy 3.40
Nd 0.5000 0.5000 0.0000  2 Nd 3.40, 4 Tb 3.55-3.66
Nd 0.5000 0.5000 0.5000  6 Tb 3.29-3.53, 2 Nd 3.40
Dy 0.0000 0.0000 0.5000  6 Tb 3.14-3.23
Dy 0.0000 0.5000 0.0000  4 Tb 3.22-3.38, 2 Nd 3.40
Dy 0.5000 0.0000 0.0000  4 Tb 3.22-3.38, 2 Nd 3.40

Properties
Its energy above the lowest structure with this stoichiometry is 242 meV/atom. Its space-group type is C2/m, No. 12.


First-principles (PBE) data for a geometry-optimized Tb5Nd5Dy2 structure, as listed in Alexandria.

Unit cell a=8.0690 b=8.0690 c=11.4185 alpha=115.10 beta=115.10 gamma=36.81
With the nearest neighbours (Å) after each atom.
Element x y z (fractional)
Tb 0.0000 0.0000 0.0000  6 Nd 3.59-3.61, 2 Tb 3.61, 4 Dy 3.62
Tb 0.0819 0.0819 0.7490  2 Dy 3.59, 3 Tb 3.60-3.62, 7 Nd 3.60-3.65
Tb 0.1672 0.1672 0.5004  5 Nd 3.59-3.61, 3 Dy 3.60, 4 Tb 3.60-3.62
Tb 0.8328 0.8328 0.4996  5 Nd 3.59-3.61, 3 Dy 3.60, 4 Tb 3.60-3.62
Tb 0.9181 0.9181 0.2510  2 Dy 3.59, 3 Tb 3.60-3.62, 7 Nd 3.60-3.65
Nd 0.2494 0.2494 0.2512  6 Tb 3.59-3.63, 2 Dy 3.60, 4 Nd 3.61-3.64
Nd 0.3352 0.3352 0.0011  5 Tb 3.59-3.65, 2 Dy 3.59-3.62, 5 Nd 3.62-3.64
Nd 0.5000 0.5000 0.5000  2 Dy 3.59, 8 Tb 3.60-3.61, 2 Nd 3.61
Nd 0.6648 0.6648 0.9989  5 Tb 3.59-3.65, 2 Dy 3.59-3.62, 5 Nd 3.62-3.64
Nd 0.7506 0.7506 0.7488  6 Tb 3.59-3.63, 2 Dy 3.60, 4 Nd 3.61-3.64
Dy 0.4167 0.4167 0.7481  7 Tb 3.59-3.62, 5 Nd 3.59-3.62
Dy 0.5833 0.5833 0.2519  7 Tb 3.59-3.62, 5 Nd 3.59-3.62

Properties
Its space-group type is C2/m, No. 12.


First-principles (PBE) data for a geometry-optimized Tb15Nd2Dy2 structure, as listed in Alexandria.

Unit cell a=8.7499 b=8.7499 c=8.7499 alpha=79.91 beta=79.91 gamma=79.91
With the nearest neighbours (Å) after each atom.
Element x y z (fractional)
Tb 0.0000 0.0000 0.5000  8 Tb 3.35-3.39, 2 Dy 3.48
Tb 0.0000 0.2968 0.7032  6 Tb 3.32-3.39
Tb 0.0000 0.5000 0.0000  8 Tb 3.35-3.39, 2 Dy 3.48
Tb 0.0000 0.7032 0.2968  6 Tb 3.32-3.39
Tb 0.1497 0.6300 0.6300  6 Tb 3.29-3.35
Tb 0.2968 0.0000 0.7032  6 Tb 3.32-3.39
Tb 0.2968 0.7032 0.0000  6 Tb 3.32-3.39
Tb 0.3700 0.3700 0.8503  6 Tb 3.29-3.35
Tb 0.3700 0.8503 0.3700  6 Tb 3.29-3.35
Tb 0.5000 0.0000 0.0000  8 Tb 3.35-3.39, 2 Dy 3.48
Tb 0.6300 0.1497 0.6300  6 Tb 3.29-3.35
Tb 0.6300 0.6300 0.1497  6 Tb 3.29-3.35
Tb 0.7032 0.0000 0.2968  6 Tb 3.32-3.39
Tb 0.7032 0.2968 0.0000  6 Tb 3.32-3.39
Tb 0.8503 0.3700 0.3700  6 Tb 3.29-3.35
Nd 0.3258 0.3258 0.3258  15 Tb 3.97-4.29, 1 Dy 4.06
Nd 0.6742 0.6742 0.6742  15 Tb 3.97-4.29, 1 Dy 4.06
Dy 0.0954 0.0954 0.0954  1 Dy 3.36, 9 Tb 3.48-3.73
Dy 0.9046 0.9046 0.9046  1 Dy 3.36, 9 Tb 3.48-3.73

Properties
Its space-group type is R-3m, No. 166.


Number 1: N(E_F) 4.98 states/eV/f.u., formation energy 2.12 eV/f.u.. Number 2: N(E_F) 29.57 states/eV/f.u., formation energy 5.42 eV/f.u.. Number 3: N(E_F) 17.44 states/eV/f.u., formation energy 0.20 eV/f.u.. Number 4: N(E_F) 34.96 states/eV/f.u., formation energy 5.20 eV/f.u..